A plane-wave DFT calculation with PBE with a Hubbard U was carried out for a geometry-optimized CrPb2O5 structure.

abc: 5.795 5.795 5.870
angles: 119.23 119.23 90.57
Fractional positions:
Cr 0.000 0.000 0.000
Pb 0.200 0.700 0.400
Pb 0.700 0.200 0.400
O 0.271 0.846 0.116
O 0.274 0.274 0.123
O 0.805 0.805 0.610
O 0.846 0.271 0.116
O 0.850 0.850 0.124

Results
Energy in eV/atom: -6.089
Density in Mg/m³: 6.39